1.
Computed, not measured: a relaxed structure of GaSi2Tc2 at the GGA-PBE level of DFT.

abc: 5.4840 5.4840 5.4840
angles: 135.02 135.02 65.50
Sites, in units of the cell vectors:
1 Si 0.6234 0.6234 0.0000
2 Si 0.3766 0.3766 0.0000
3 Ga 0.0000 0.0000 0.0000
4 Tc 0.2500 0.7500 0.5000
5 Tc 0.7500 0.2500 0.5000

Values from the calculation:
Energy   -34.494 eV for the cell shown
Spin magnetization   0.03 μB per formula unit

2.
Computed, not measured: a relaxed structure of GaSiTc at the GGA-PBE level of DFT.

abc: 4.5379 4.5214 4.6215
angles: 90.00 119.40 90.00
Sites, in units of the cell vectors:
1 Tc 0.2565 0.7500 0.0131
2 Tc 0.7435 0.2500 0.9869
3 Ga 0.9199 0.7500 0.3399
4 Ga 0.0801 0.2500 0.6601
5 Si 0.5923 0.7500 0.6846
6 Si 0.4077 0.2500 0.3154

Values from the calculation:
Energy   -40.202 eV for the cell shown
Spin magnetization   0.00 μB per formula unit
ΔE to the lowest computed polymorph   0.000 eV/atom

3.
Computed, not measured: a relaxed structure of GaSiTc at the GGA-PBE level of DFT.

abc: 4.0584 4.0584 4.0584
angles: 60.00 60.00 60.00
Sites, in units of the cell vectors:
1 Si 0.0000 0.0000 0.0000
2 Ga 0.2500 0.2500 0.2500
3 Tc 0.7500 0.7500 0.7500

Values from the calculation:
Energy   -18.548 eV for the cell shown
Spin magnetization   0.00 μB per formula unit
ΔE to the lowest computed polymorph   0.518 eV/atom

4.
Computed, not measured: a relaxed structure of Tm2GaSi at the GGA-PBE level of DFT.

abc: 3.9038 5.6757 5.6757
angles: 43.78 90.00 90.00
Sites, in units of the cell vectors:
1 Tm 0.0000 0.8594 0.8594
2 Tm 0.5000 0.1411 0.1411
3 Si 0.5000 0.4225 0.4225
4 Ga 0.0000 0.5771 0.5771

Values from the calculation:
Energy   -20.352 eV for the cell shown
Spin magnetization   0.01 μB per formula unit

5.
Computed, not measured: a relaxed structure of Tm2GaSi at the GGA-PBE level of DFT.

abc: 5.6818 3.9008 8.2580
angles: 90.00 107.65 90.00
Sites, in units of the cell vectors:
1 Tm 0.2155 0.2500 0.9320
2 Tm 0.7045 0.2500 0.4264
3 Tm 0.7845 0.7500 0.0680
4 Tm 0.2955 0.7500 0.5736
5 Ga 0.8683 0.7500 0.7105
6 Ga 0.1317 0.2500 0.2895
7 Si 0.6370 0.2500 0.7898
8 Si 0.3630 0.7500 0.2102

Values from the calculation:
Energy   -40.715 eV for the cell shown
Spin magnetization   0.01 μB per formula unit

6.
Computed, not measured: a relaxed structure of YTmGa2Si2 at the GGA-PBE level of DFT.

abc: 5.7406 5.4258 5.4258
angles: 43.61 90.00 90.00
Sites, in units of the cell vectors:
1 Y 0.5000 0.6934 0.6934
2 Ga 0.7508 0.9992 0.9992
3 Ga 0.2492 0.9992 0.9992
4 Si 0.5000 0.3994 0.3994
5 Si 0.0000 0.6010 0.6010
6 Tm 0.0000 0.3077 0.3077

Values from the calculation:
Energy   -31.187 eV for the cell shown
Spin magnetization   0.00 μB per formula unit